Compound: HoPaSi4
Source: Alexandria
Functional: PBE
Structure: relaxed

```
HoPaSi4
1.0
-2.2547 -4.4697 -1.7153
1.3505 -4.6408 2.1547
-3.4355 -2.5840 3.0862
Ho Si Pa
1 4 1
Cartesian
0.0000 0.0000 0.0000 Ho
-3.4109 -4.9722 1.1139 Si
-2.7227 -7.3371 2.2120 Si
-1.5737 -5.0594 3.0861 Si
-0.9720 -6.0203 0.6393 Si
-1.0849 -2.9236 0.8814 Pa
```

Output
- Energy above the most stable polymorph in this dataset: 0.088 eV/atom
- E_tot: -37.368 eV per formula unit
- Formation energy (no corrections): -0.2671 eV per atom
- Space group: No. 216